No. 1
## Na3Pu2I8 (PBE)

Data for an optimized crystal structure of Na3Pu2I8.

Lattice parameters (Å, degrees): 9.456 9.456 7.747 106.20 106.20 56.01
Fractional positions:
1 Na 0.000 0.000 0.000
2 Na 0.260 0.740 0.500
3 Na 0.740 0.260 0.500
4 Pu 0.255 0.255 0.827
5 Pu 0.745 0.745 0.173
6 I 0.115 0.631 0.083
7 I 0.120 0.120 0.434
8 I 0.369 0.885 0.917
9 I 0.387 0.387 0.621
10 I 0.613 0.613 0.379
11 I 0.631 0.115 0.083
12 I 0.880 0.880 0.566
13 I 0.885 0.369 0.917

Summary:
Magnetic moment (μB per atom): 0.8462
Raw formation energy (eV per atom): -1.119


No. 2
## Na2PuI4 (PBE)

Data for an optimized crystal structure of Na2PuI4.

Lattice parameters (Å, degrees): 9.599 9.599 13.054 90.00 90.00 90.00
Fractional positions:
1 Na 0.000 0.245 0.000
2 Na 0.000 0.755 0.500
3 Na 0.242 0.242 0.375
4 Na 0.242 0.758 0.125
5 Na 0.245 0.000 0.750
6 Na 0.755 0.000 0.250
7 Na 0.758 0.242 0.625
8 Na 0.758 0.758 0.875
9 Pu 0.255 0.500 0.750
10 Pu 0.500 0.255 0.000
11 Pu 0.500 0.745 0.500
12 Pu 0.745 0.500 0.250
13 I 0.026 0.255 0.753
14 I 0.026 0.745 0.747
15 I 0.254 0.485 0.996
16 I 0.254 0.515 0.504
17 I 0.255 0.026 0.997
18 I 0.255 0.974 0.503
19 I 0.485 0.254 0.754
20 I 0.485 0.746 0.746
21 I 0.515 0.254 0.246
22 I 0.515 0.746 0.254
23 I 0.745 0.026 0.003
24 I 0.745 0.974 0.497
25 I 0.746 0.485 0.004
26 I 0.746 0.515 0.496
27 I 0.974 0.255 0.247
28 I 0.974 0.745 0.253

Summary:
Magnetic moment (μB per atom): 0.8571
Offset from the most stable computed form (eV per atom): 0.0000
Raw formation energy (eV per atom): -1.126


No. 3
## NaPu2I5 (PBE)

Data for an optimized crystal structure of NaPu2I5.

Lattice parameters (Å, degrees): 5.603 17.294 7.954 90.00 110.30 90.00
Fractional positions:
1 Na 0.000 0.000 0.000
2 Na 0.500 0.500 0.000
3 Pu 0.000 0.313 0.000
4 Pu 0.000 0.687 0.000
5 Pu 0.500 0.187 0.000
6 Pu 0.500 0.813 0.000
7 I 0.000 0.500 0.000
8 I 0.128 0.163 0.258
9 I 0.128 0.837 0.258
10 I 0.372 0.337 0.742
11 I 0.372 0.663 0.742
12 I 0.500 0.000 0.000
13 I 0.628 0.337 0.258
14 I 0.628 0.663 0.258
15 I 0.872 0.163 0.742
16 I 0.872 0.837 0.742

Summary:
Magnetic moment (μB per atom): 1.5000
Raw formation energy (eV per atom): -0.977


No. 4
## NaPu2I8 (PBE)

Data for an optimized crystal structure of NaPu2I8.

Lattice parameters (Å, degrees): 10.054 10.054 6.141 90.95 90.95 73.42
Fractional positions:
1 Na 0.000 0.000 0.000
2 Pu 0.225 0.225 0.743
3 Pu 0.775 0.775 0.257
4 I 0.081 0.709 0.251
5 I 0.224 0.224 0.244
6 I 0.291 0.919 0.749
7 I 0.406 0.406 0.750
8 I 0.594 0.594 0.250
9 I 0.709 0.081 0.251
10 I 0.776 0.776 0.756
11 I 0.919 0.291 0.749

Summary:
Magnetic moment (μB per atom): 0.8182
Raw formation energy (eV per atom): -0.864


No. 5
## Na2PuI4 (PBE)

Data for an optimized crystal structure of Na2PuI4.

Lattice parameters (Å, degrees): 6.251 6.251 16.374 90.00 90.00 90.00
Fractional positions:
1 Na 0.000 0.000 0.128
2 Na 0.000 0.000 0.872
3 Na 0.500 0.500 0.372
4 Na 0.500 0.500 0.628
5 Pu 0.000 0.000 0.500
6 Pu 0.500 0.500 0.000
7 I 0.000 0.000 0.310
8 I 0.000 0.000 0.690
9 I 0.000 0.500 0.000
10 I 0.000 0.500 0.500
11 I 0.500 0.000 0.000
12 I 0.500 0.000 0.500
13 I 0.500 0.500 0.190
14 I 0.500 0.500 0.810

Summary:
Magnetic moment (μB per atom): 0.8537
Offset from the most stable computed form (eV per atom): 0.1451
Raw formation energy (eV per atom): -0.980


No. 6
## NaPu5I12 (PBE)

Data for an optimized crystal structure of NaPu5I12.

Lattice parameters (Å, degrees): 7.880 7.880 15.374 90.01 90.01 120.11
Fractional positions:
1 Na 0.000 0.000 0.000
2 Pu 0.167 0.833 0.500
3 Pu 0.333 0.667 0.000
4 Pu 0.500 0.500 0.500
5 Pu 0.667 0.333 0.000
6 Pu 0.833 0.167 0.500
7 I 0.000 0.342 0.119
8 I 0.000 0.658 0.881
9 I 0.165 0.165 0.380
10 I 0.165 0.500 0.619
11 I 0.342 0.000 0.119
12 I 0.343 0.343 0.881
13 I 0.500 0.165 0.619
14 I 0.500 0.835 0.381
15 I 0.657 0.657 0.119
16 I 0.658 0.000 0.881
17 I 0.835 0.500 0.381
18 I 0.835 0.835 0.620

Summary:
Magnetic moment (μB per atom): 0.9570
Raw formation energy (eV per atom): -1.090